Density functional theory data (GGA-PBE) for a relaxed structure of La4Tb5Tm4.

a = 5.0939 Å, b = 9.5262 Å, c = 9.5262 Å
α = 85.90°, β = 74.49°, γ = 74.49°
Element x y z (fractional)
Tb: 0.3061 0.1565 0.2313
La: 0.7708 0.3817 0.0766
La: 0.8474 0.9234 0.3817
Tb: 0.5374 0.7687 0.1565
Tm: 0.0762 0.5352 0.3124
Tm: 0.9238 0.4648 0.6876
La: 0.2292 0.6183 0.9234
La: 0.1526 0.0766 0.6183
Tm: 0.3886 0.6876 0.5352
Tb: 0.0000 0.0000 0.0000
Tb: 0.4626 0.2313 0.8435
Tb: 0.6939 0.8435 0.7687
Tm: 0.6114 0.3124 0.4648

Results
- Volume: 33.02 Å³/atom
- Density of states at the Fermi level: 20.2 states/eV/cell
- Calculated total energy: -4.64 eV/atom
- Formation energy: 0.42 eV per formula unit
- Total magnetization: 0.0 Bohr magnetons per cell


Density functional theory data (GGA-PBE) for a relaxed structure of Nd12Hg5Rh2.

a = 8.0692 Å, b = 9.2622 Å, c = 9.2612 Å
α = 106.08°, β = 90.00°, γ = 115.82°
Element x y z (fractional)
Nd: 0.0836 0.1672 0.8425
Hg: 0.0000 0.0000 0.5000
Rh: 0.2153 0.0000 0.0000
Nd: 0.4794 0.9588 0.1783
Hg: 0.7146 0.4293 0.9202
Nd: 0.8222 0.2452 0.5591
Nd: 0.0853 0.6573 0.8202
Hg: 0.2854 0.5707 0.0798
Nd: 0.4280 0.3427 0.1798
Rh: 0.7847 0.0000 0.0000
Hg: 0.2319 0.4639 0.5261
Nd: 0.9147 0.3427 0.1798
Nd: 0.1778 0.7548 0.4409
Nd: 0.5720 0.6573 0.8202
Nd: 0.5206 0.0412 0.8217
Nd: 0.4229 0.2452 0.5591
Nd: 0.9164 0.8328 0.1575
Nd: 0.5771 0.7548 0.4409
Hg: 0.7681 0.5361 0.4739

Results
- Volume: 31.20 Å³/atom
- Density of states at the Fermi level: 20.5 states/eV/cell
- Calculated total energy: -4.15 eV/atom
- Formation energy: -5.36 eV per formula unit
- Total magnetization: 0.0 Bohr magnetons per cell


Density functional theory data (GGA-PBE) for a relaxed structure of Ce8In2Pb.

a = 4.9332 Å, b = 8.2835 Å, c = 9.2324 Å
α = 116.61°, β = 105.48°, γ = 90.00°
Last column: magnetic moment on the atom in μB.
Element x y z (fractional)
Ce: 0.0000 0.6661 0.9998  0.91
Ce: 0.3506 0.1249 0.7020  0.91
Ce: 0.6494 0.8751 0.2980  0.91
Ce: 0.3509 0.5771 0.7024  0.92
Ce: 0.1511 0.1513 0.3034  1.07
In: 0.7999 0.3003 0.6006  -0.02
Pb: 0.5000 0.0000 0.0000  -0.03
In: 0.2001 0.6997 0.3994  -0.02
Ce: 0.0000 0.3339 0.0002  0.91
Ce: 0.6491 0.4229 0.2976  0.92
Ce: 0.8489 0.8487 0.6966  1.07

Results
- Volume: 29.27 Å³/atom
- Density of states at the Fermi level: 36.6 states/eV/cell
- Calculated total energy: -5.26 eV/atom
- Formation energy: -1.25 eV per formula unit
- E above lowest polymorph: 0.000 eV per formula unit
- Total magnetization: 9.9 Bohr magnetons per cell


Density functional theory data (GGA-PBE) for a relaxed structure of Ac5Pm3Bi8.

a = 9.5444 Å, b = 9.5444 Å, c = 9.5398 Å
α = 59.98°, β = 59.98°, γ = 60.00°
Element x y z (fractional)
Bi: 0.2447 0.2447 0.2658
Pm: 0.0000 0.0000 0.5000
Bi: 0.7611 0.2500 0.7389
Bi: 0.7500 0.2389 0.2611
Ac: 0.5000 0.5000 0.5000
Pm: 0.5000 0.0000 0.5000
Ac: 0.0000 0.0000 0.0000
Ac: 0.0000 0.5000 0.0000
Bi: 0.2389 0.7500 0.2611
Pm: 0.0000 0.5000 0.5000
Bi: 0.7553 0.7553 0.7342
Bi: 0.2500 0.7611 0.7389
Ac: 0.5000 0.5000 0.0000
Bi: 0.2500 0.2500 0.7389
Bi: 0.7500 0.7500 0.2611
Ac: 0.5000 0.0000 0.0000

Results
- Volume: 38.40 Å³/atom
- Density of states at the Fermi level: 2.9 states/eV/cell
- Calculated total energy: -5.08 eV/atom
- Formation energy: -15.42 eV per formula unit
- Total magnetization: 0.0 Bohr magnetons per cell


Density functional theory data (GGA-PBE) for a relaxed structure of BaCdPt2.

a = 3.6544 Å, b = 3.6544 Å, c = 7.5701 Å
α = 90.00°, β = 90.00°, γ = 90.00°
Element x y z (fractional)
Pt: 0.0000 0.0000 0.0660
Cd: 0.5000 0.5000 0.8070
Pt: 0.5000 0.5000 0.1630
Ba: 0.0000 0.0000 0.4639

Results
- Volume: 25.27 Å³/atom
- Density of states at the Fermi level: 2.2 states/eV/cell
- Calculated total energy: -3.92 eV/atom
- Formation energy: -0.76 eV per formula unit
- Total magnetization: 0.0 Bohr magnetons per cell


Density functional theory data (GGA-PBE) for a relaxed structure of Pu2Ge3Pd9.

a = 7.8046 Å, b = 7.8046 Å, c = 10.2025 Å
α = 89.86°, β = 112.47°, γ = 120.23°
Last column: magnetic moment on the atom in μB.
Element x y z (fractional)
Pd: 0.5341 0.1899 0.5445  -0.01
Pd: 0.7889 0.4837 0.4187  -0.01
Pd: 0.5650 0.3702 0.0813  -0.01
Pd: 0.5395 0.0765 0.2529  0.01
Pu: 0.9895 0.5848 0.7481  5.11
Ge: 0.1750 0.3460 0.0004  -0.02
Pd: 0.1170 0.8670 0.2500  0.00
Pd: 0.4350 0.6298 0.9187  -0.01
Pd: 0.2128 0.6842 0.0729  -0.01
Ge: 0.5000 0.5000 0.5000  -0.01
Ge: 0.8456 0.1746 0.4996  -0.02
Pd: 0.8830 0.1330 0.7500  0.00
Pu: 0.3368 0.2414 0.7519  5.11
Pd: 0.6765 0.7134 0.7529  0.01
Ge: 0.8250 0.6540 0.9996  -0.02
Pd: 0.4605 0.9235 0.7471  0.01
Pu: 0.0105 0.4152 0.2519  5.11
Pd: 0.8887 0.8601 0.5729  -0.01
Pd: 0.1455 0.9896 0.9555  -0.01
Pd: 0.4659 0.8101 0.4555  -0.01
Pd: 0.7872 0.3158 0.9271  -0.01
Pd: 0.8545 0.0104 0.0445  -0.01
Ge: 0.5000 0.0000 0.0000  -0.01
Ge: 0.1544 0.8254 0.5004  -0.02
Pd: 0.1113 0.1399 0.4271  -0.01
Pd: 0.2111 0.5163 0.5813  -0.01
Pu: 0.6632 0.7586 0.2481  5.11
Pd: 0.3235 0.2866 0.2471  0.01

Results
- Volume: 17.21 Å³/atom
- Density of states at the Fermi level: 72.5 states/eV/cell
- Calculated total energy: -6.93 eV/atom
- Formation energy: -7.77 eV per formula unit
- Total magnetization: 21.0 Bohr magnetons per cell